# 1
ThAu2: relaxed, PBE.

Cell: 4.2810 4.2810 14.1234 Å, 127.38 127.38 59.94°
With the nearest neighbours (Å) after each atom.
Atoms (fractional coordinates):
Th 0.0000 0.0000 0.7500  8 Au 3.02-3.30
Th 0.0000 0.0000 0.2500  8 Au 3.02-3.30
Au 0.4369 0.4368 0.0777  3 Au 2.92-2.93, 3 Th 3.02
Au 0.5632 0.5631 0.4223  3 Au 2.92-2.93, 3 Th 3.02
Au 0.5631 0.5632 0.9223  3 Au 2.92-2.93, 3 Th 3.02
Au 0.4368 0.4369 0.5777  3 Au 2.92-2.93, 3 Th 3.02

# 2
Th3Au: relaxed, PBE.

Cell: 3.7330 6.3567 10.4840 Å, 90.00 90.00 107.08°
With the nearest neighbours (Å) after each atom.
Atoms (fractional coordinates):
Th 0.4249 0.8498 0.7500  2 Au 3.13
Th 0.5751 0.1502 0.2500  2 Au 3.13
Th 0.1340 0.2681 0.9594  2 Au 3.06, 1 Th 3.37
Th 0.8660 0.7319 0.0406  2 Au 3.06, 1 Th 3.37
Th 0.8660 0.7319 0.4594  2 Au 3.06, 1 Th 3.37
Th 0.1340 0.2681 0.5406  2 Au 3.06, 1 Th 3.37
Au 0.7185 0.4371 0.7500  6 Th 3.06-3.13
Au 0.2815 0.5629 0.2500  6 Th 3.06-3.13

How do the records compare in energy relative to the elements? In the order shown, they have -0.5225, -0.2890 eV per atom.
How do the records compare in total DFT energy (no corrections)? In the order shown, they have -5.18, -6.67 eV/atom.